[1]
Material: SmCdIn
Method: DFT, SCAN
State: PBEsol geometry

a b c (Å): 4.8159 4.8159 7.4750
angles (deg): 90.00 90.00 120.00
Fractional coordinates of all 6 atoms:
In: 0.6667 0.3333 0.9479
In: 0.3333 0.6667 0.0521
Sm: 0.0000 0.0000 0.2616
Sm: 0.0000 0.0000 0.7384
Cd: 0.3333 0.6667 0.4737
Cd: 0.6667 0.3333 0.5263

Summary:
Mass density (g/cm3): 8.4
SG: P-3m1, No. 164
Crystal system: trigonal
Total DFT energy (no corrections) (eV/atom): -36.668

[2]
Material: Sm2CdIn
Method: DFT, SCAN
State: PBEsol geometry

a b c (Å): 5.3132 5.3132 5.3132
angles (deg): 60.00 60.00 60.00
Each line ends with the local moment (μB).
Fractional coordinates of all 4 atoms:
Sm: 0.2500 0.2500 0.2500  0.17
Sm: 0.7500 0.7500 0.7500  0.17
Cd: 0.5000 0.5000 0.5000  0.01
In: 0.0000 0.0000 0.0000  -0.02

Summary:
Mass density (g/cm3): 8.3
SG: Fm-3m, No. 225
Crystal system: cubic
Total DFT energy (no corrections) (eV/atom): -38.731

[3]
Material: SrCdIn2
Method: DFT, SCAN
State: PBEsol geometry

a b c (Å): 4.7744 4.7744 6.3734
angles (deg): 68.00 68.00 60.00
Fractional coordinates of all 4 atoms:
In: 0.2787 0.2787 0.1639
In: 0.7213 0.7213 0.8361
Cd: 0.0000 0.0000 0.0000
Sr: 0.5000 0.5000 0.5000

Summary:
Mass density (g/cm3): 6.3
SG: R-3m, No. 166
Crystal system: trigonal
Total DFT energy (no corrections) (eV/atom): -30.257